# YZr (PBE, optimized geometry)
data_YZr
_chemical_formula_sum 'Y6 Zr6'
_cell_length_a 11.1135
_cell_length_b 11.1135
_cell_length_c 3.2562
_cell_angle_alpha 90.00
_cell_angle_beta 90.00
_cell_angle_gamma 120.00
_space_group_name_H-M_alt 'P 63/m'
_space_group_IT_number 176
_space_group_name_Hall '-P 6c'
loop_
_atom_site_label
_atom_site_type_symbol
_atom_site_fract_x
_atom_site_fract_y
_atom_site_fract_z
Y1 Y 0.0534 0.2965 0.2500
Zr1 Zr 0.1386 0.6035 0.2500
# energy of formation from the pure elements: 0.3693 eV/atom
# offset from the most stable computed form: 321 meV/atom
# final energy: -14.27 eV/f.u.
# magnetic moment: 0.0 Bohr magnetons per cell


# YZr2 (PBE, optimized geometry)
data_YZr2
_chemical_formula_sum 'Y2 Zr4'
_cell_length_a 5.1884
_cell_length_b 5.1884
_cell_length_c 6.5358
_cell_angle_alpha 90.00
_cell_angle_beta 90.00
_cell_angle_gamma 120.00
_space_group_name_H-M_alt 'P 63/m m c'
_space_group_IT_number 194
_space_group_name_Hall '-P 6c 2c'
loop_
_atom_site_label
_atom_site_type_symbol
_atom_site_fract_x
_atom_site_fract_y
_atom_site_fract_z
Y1 Y 0.3333 0.6667 0.2500
Zr1 Zr 0.0000 0.0000 0.0000
Zr2 Zr 0.3333 0.6667 0.7500
# energy of formation from the pure elements: 0.1450 eV/atom
# final energy: -23.13 eV/f.u.
# magnetic moment: 0.0 Bohr magnetons per cell


# YZr (PBE, optimized geometry)
data_YZr
_chemical_formula_sum 'Y4 Zr4'
_cell_length_a 5.9374
_cell_length_b 5.3824
_cell_length_c 6.8229
_cell_angle_alpha 90.00
_cell_angle_beta 90.00
_cell_angle_gamma 90.00
_space_group_name_H-M_alt 'P n m a'
_space_group_IT_number 62
loop_
_space_group_symop_operation_xyz
'x,y,z'
'-x,-y,-z'
'-x+1/2,-y,z+1/2'
'x+1/2,y,-z+1/2'
'x+1/2,-y+1/2,-z+1/2'
'-x+1/2,y+1/2,z+1/2'
'-x,y+1/2,-z'
'x,-y+1/2,z'
loop_
_atom_site_label
_atom_site_type_symbol
_atom_site_fract_x
_atom_site_fract_y
_atom_site_fract_z
Y1 Y 0.0908 0.2500 0.1261
Zr1 Zr 0.0689 0.2500 0.6221
# energy of formation from the pure elements: 0.0918 eV/atom
# offset from the most stable computed form: 44 meV/atom
# final energy: -14.83 eV/f.u.
# magnetic moment: 0.0 Bohr magnetons per cell


# YZr (PBE, optimized geometry)
data_YZr
_chemical_formula_sum 'Y8 Zr8'
_cell_length_a 5.8844
_cell_length_b 6.8064
_cell_length_c 10.8100
_cell_angle_alpha 90.00
_cell_angle_beta 90.00
_cell_angle_gamma 90.00
_space_group_name_H-M_alt 'P 21 21 21'
_space_group_IT_number 19
loop_
_space_group_symop_operation_xyz
'x,y,z'
'-x+1/2,-y,z+1/2'
'x+1/2,-y+1/2,-z'
'-x,y+1/2,-z+1/2'
loop_
_atom_site_label
_atom_site_type_symbol
_atom_site_fract_x
_atom_site_fract_y
_atom_site_fract_z
Y1 Y 0.0108 0.1248 0.2487
Y2 Y 0.1656 0.3806 0.5041
Zr1 Zr 0.0110 0.1261 0.7539
Zr2 Zr 0.1649 0.8676 0.5050
# energy of formation from the pure elements: 0.1149 eV/atom
# offset from the most stable computed form: 67 meV/atom
# final energy: -14.78 eV/f.u.
# magnetic moment: 0.0 Bohr magnetons per cell


# YZr2 (PBE, optimized geometry)
data_YZr2
_chemical_formula_sum 'Y4 Zr8'
_cell_length_a 6.8728
_cell_length_b 6.8728
_cell_length_c 6.5396
_cell_angle_alpha 90.00
_cell_angle_beta 90.00
_cell_angle_gamma 90.00
_space_group_name_H-M_alt 'I 4/m c m'
_space_group_IT_number 140
_space_group_name_Hall '-I 4 2c'
loop_
_atom_site_label
_atom_site_type_symbol
_atom_site_fract_x
_atom_site_fract_y
_atom_site_fract_z
Y1 Y 0.0000 0.0000 0.2500
Zr1 Zr 0.1485 0.3515 0.0000
# energy of formation from the pure elements: 0.5496 eV/atom
# final energy: -21.91 eV/f.u.
# magnetic moment: 2.1 Bohr magnetons per cell


# YZr2 (PBE, optimized geometry)
data_YZr2
_chemical_formula_sum 'Y1 Zr2'
_cell_length_a 3.3066
_cell_length_b 3.3066
_cell_length_c 8.1383
_cell_angle_alpha 90.00
_cell_angle_beta 90.00
_cell_angle_gamma 120.00
_space_group_name_H-M_alt 'P -3 m 1'
_space_group_IT_number 164
_space_group_name_Hall '-P 3 2"'
loop_
_atom_site_label
_atom_site_type_symbol
_atom_site_fract_x
_atom_site_fract_y
_atom_site_fract_z
Y1 Y 0.0000 0.0000 0.0000
Zr1 Zr 0.3333 0.6667 0.3467
# energy of formation from the pure elements: 0.1221 eV/atom
# final energy: -23.19 eV/f.u.
# magnetic moment: 0.0 Bohr magnetons per cell


# YZr2 (PBE, optimized geometry)
data_YZr2
_chemical_formula_sum 'Y4 Zr8'
_cell_length_a 12.2887
_cell_length_b 3.3289
_cell_length_c 7.8008
_cell_angle_alpha 90.00
_cell_angle_beta 103.27
_cell_angle_gamma 90.00
_space_group_name_H-M_alt 'C 1 2/m 1'
_space_group_IT_number 12
loop_
_space_group_symop_operation_xyz
'x,y,z'
'-x,-y,-z'
'-x,y,-z'
'x,-y,z'
'x+1/2,y+1/2,z'
'-x+1/2,-y+1/2,-z'
'-x+1/2,y+1/2,-z'
'x+1/2,-y+1/2,z'
loop_
_atom_site_label
_atom_site_type_symbol
_atom_site_fract_x
_atom_site_fract_y
_atom_site_fract_z
Y1 Y 0.0243 0.0000 0.3020
Zr1 Zr 0.1455 0.5000 0.0263
Zr2 Zr 0.2076 0.5000 0.6504
# energy of formation from the pure elements: 0.0674 eV/atom
# final energy: -23.36 eV/f.u.
# magnetic moment: 0.0 Bohr magnetons per cell


# Y4Zr (PBE, optimized geometry)
data_Y4Zr
_chemical_formula_sum 'Y8 Zr2'
_cell_length_a 4.3507
_cell_length_b 4.3507
_cell_length_c 16.8505
_cell_angle_alpha 90.00
_cell_angle_beta 90.00
_cell_angle_gamma 90.00
_space_group_name_H-M_alt 'I 4/m m m'
_space_group_IT_number 139
_space_group_name_Hall '-I 4 2'
loop_
_atom_site_label
_atom_site_type_symbol
_atom_site_fract_x
_atom_site_fract_y
_atom_site_fract_z
Y1 Y 0.0000 0.0000 0.0894
Y2 Y 0.0000 0.5000 0.2500
Zr1 Zr 0.0000 0.0000 0.5000
# energy of formation from the pure elements: 0.5418 eV/atom
# offset from the most stable computed form: 458 meV/atom
# final energy: -31.70 eV/f.u.
# magnetic moment: 0.6 Bohr magnetons per cell


# YZr2 (PBE, optimized geometry)
data_YZr2
_chemical_formula_sum 'Y4 Zr8'
_cell_length_a 3.3191
_cell_length_b 5.4450
_cell_length_c 17.8373
_cell_angle_alpha 90.00
_cell_angle_beta 90.00
_cell_angle_gamma 90.00
_space_group_name_H-M_alt 'I m m a'
_space_group_IT_number 74
_space_group_name_Hall '-I 2b 2'
loop_
_atom_site_label
_atom_site_type_symbol
_atom_site_fract_x
_atom_site_fract_y
_atom_site_fract_z
Y1 Y 0.0000 0.2500 0.1394
Zr1 Zr 0.0000 0.2500 0.5299
Zr2 Zr 0.0000 0.2500 0.6865
# energy of formation from the pure elements: 0.3348 eV/atom
# final energy: -22.56 eV/f.u.
# magnetic moment: 0.0 Bohr magnetons per cell


# Y3Zr5 (PBE, optimized geometry)
data_Y3Zr5
_chemical_formula_sum 'Y6 Zr10'
_cell_length_a 9.5940
_cell_length_b 9.5940
_cell_length_c 5.5157
_cell_angle_alpha 90.00
_cell_angle_beta 90.00
_cell_angle_gamma 120.00
_space_group_name_H-M_alt 'P 63/m c m'
_space_group_IT_number 193
_space_group_name_Hall '-P 6c 2'
loop_
_atom_site_label
_atom_site_type_symbol
_atom_site_fract_x
_atom_site_fract_y
_atom_site_fract_z
Y1 Y 0.0000 0.3850 0.2500
Zr1 Zr 0.0000 0.1885 0.7500
Zr2 Zr 0.3333 0.6667 0.0000
# energy of formation from the pure elements: 0.3484 eV/atom
# offset from the most stable computed form: 213 meV/atom
# final energy: -59.35 eV/f.u.
# magnetic moment: 0.0 Bohr magnetons per cell


# Y5Zr (PBE, optimized geometry)
data_Y5Zr
_chemical_formula_sum 'Y10 Zr2'
_cell_length_a 4.9405
_cell_length_b 14.8289
_cell_length_c 4.9730
_cell_angle_alpha 90.00
_cell_angle_beta 90.00
_cell_angle_gamma 90.00
_space_group_name_H-M_alt 'C m m m'
_space_group_IT_number 65
_space_group_name_Hall '-C 2 2'
loop_
_atom_site_label
_atom_site_type_symbol
_atom_site_fract_x
_atom_site_fract_y
_atom_site_fract_z
Y1 Y 0.0000 0.0000 0.0000
Y2 Y 0.0000 0.1595 0.5000
Y3 Y 0.0000 0.3396 0.0000
Zr1 Zr 0.0000 0.5000 0.5000
# energy of formation from the pure elements: 0.0697 eV/atom
# offset from the most stable computed form: 19 meV/atom
# final energy: -40.45 eV/f.u.
# magnetic moment: 0.0 Bohr magnetons per cell


# YZr4 (PBE, optimized geometry)
data_YZr4
_chemical_formula_sum 'Y2 Zr8'
_cell_length_a 7.3342
_cell_length_b 7.3342
_cell_length_c 4.5720
_cell_angle_alpha 90.00
_cell_angle_beta 90.00
_cell_angle_gamma 90.00
_space_group_name_H-M_alt 'I 4/m'
_space_group_IT_number 87
_space_group_name_Hall '-I 4'
loop_
_atom_site_label
_atom_site_type_symbol
_atom_site_fract_x
_atom_site_fract_y
_atom_site_fract_z
Y1 Y 0.0000 0.0000 0.0000
Zr1 Zr 0.0939 0.3064 0.5000
# energy of formation from the pure elements: 0.0995 eV/atom
# offset from the most stable computed form: 0 meV/atom
# final energy: -40.16 eV/f.u.
# magnetic moment: 0.0 Bohr magnetons per cell